(1)
LaPr2NdO PBE-GGA relaxed; uncorrected formation energy = -1.095 eV/atom; total energy = -0.4364 Ry/atom
1.0
5.1798 0.0000 0.0000
0.0000 5.1798 0.0000
0.0000 0.0000 5.1663
La Pr Nd O
1 2 1 1
Direct
0.0000 0.0000 0.0000
0.0000 0.5000 0.5000
0.5000 0.0000 0.5000
0.5000 0.5000 0.0000
0.0000 0.0000 0.5000

(2)
LaNdPuO6 PBE-GGA relaxed; uncorrected formation energy = -3.013 eV/atom; total energy = -0.6606 Ry/atom
1.0
5.9490 0.0000 0.0000
-2.9745 5.1520 0.0000
0.0000 0.0000 9.7128
La Nd Pu O
2 2 2 12
Direct
0.0000 0.0000 0.0000
0.0000 0.0000 0.5000
0.3333 0.6667 0.2500
0.6667 0.3333 0.7500
0.3333 0.6667 0.7500
0.6667 0.3333 0.2500
0.0377 0.3703 0.6357
0.0377 0.6674 0.8643
0.3326 0.3703 0.8643
0.3326 0.9623 0.6357
0.3703 0.0377 0.1357
0.3703 0.3326 0.3643
0.6297 0.6674 0.6357
0.6297 0.9623 0.8643
0.6674 0.0377 0.3643
0.6674 0.6297 0.1357
0.9623 0.3326 0.1357
0.9623 0.6297 0.3643

(3)
La2NdPuO8 PBE-GGA relaxed; uncorrected formation energy = -3.037 eV/atom; total energy = -0.6435 Ry/atom
1.0
4.1432 0.0000 0.0000
0.0000 7.6232 0.0000
-0.6199 0.0000 5.6118
La Nd Pu O
2 1 1 8
Direct
0.0000 0.2453 0.0000
0.0000 0.7547 0.0000
0.5000 0.0000 0.5000
0.5000 0.5000 0.5000
0.0054 0.0000 0.2468
0.0856 0.5000 0.2926
0.4494 0.2846 0.7276
0.4494 0.7154 0.7276
0.5506 0.2846 0.2724
0.5506 0.7154 0.2724
0.9144 0.5000 0.7074
0.9946 0.0000 0.7532